Entry 1:
DFT (GGA-PBE) results for a geometry-optimized Nd3Th13 structure.

Summary:
- V (Å³/cell) = 1055.1
- crystal system = orthorhombic
- DFT formation energy (eV/atom) = 0.064

a b c (Å): 7.141 11.939 12.376
angles (deg): 90.00 90.00 90.00
Space group Amm2 (No. 38)
One atom of each set of equivalent atoms:
Nd: 0.000 0.000 0.000 (multiplicity 2)
Nd: 0.251 0.000 0.744 (multiplicity 4)
Th: 0.000 0.000 0.491 (multiplicity 2)
Th: 0.000 0.249 0.159 (multiplicity 4)
Th: 0.252 0.248 0.409 (multiplicity 8)
Th: 0.253 0.000 0.248 (multiplicity 4)
Th: 0.500 0.000 0.003 (multiplicity 2)
Th: 0.500 0.000 0.490 (multiplicity 2)
Th: 0.500 0.249 0.157 (multiplicity 4)


Entry 2:
DFT (GGA-PBE) results for a geometry-optimized Sr2NpCoS5 structure.

Summary:
- V (Å³/cell) = 843.4
- crystal system = orthorhombic
- ΔE_f (raw) (eV/atom) = -1.42

a b c (Å): 3.982 17.204 12.310
angles (deg): 90.00 90.00 90.00
Space group Cmc2_1 (No. 36)
One atom of each set of equivalent atoms:
Sr: 0.000 0.116 0.000 (multiplicity 4)
Sr: 0.000 0.118 0.355 (multiplicity 4)
Np: 0.000 0.195 0.685 (multiplicity 4)
Co: 0.000 0.436 0.092 (multiplicity 4)
S: 0.000 0.042 0.667 (multiplicity 4)
S: 0.000 0.303 0.333 (multiplicity 4)
S: 0.000 0.310 0.037 (multiplicity 4)
S: 0.000 0.348 0.677 (multiplicity 4)
S: 0.000 0.497 0.933 (multiplicity 4)


Entry 3:
DFT (GGA-PBE) results for a geometry-optimized YCd4Bi structure.

Summary:
- V (Å³/cell) = 605.9
- crystal system = cubic
- DFT formation energy (eV/atom) = -0.101

a b c (Å): 8.462 8.462 8.462
angles (deg): 90.00 90.00 90.00
Space group F-43m (No. 216)
One atom of each set of equivalent atoms:
Y: 0.000 0.000 0.000 (multiplicity 4)
Cd: 0.125 0.125 0.625 (multiplicity 16)
Bi: 0.250 0.250 0.250 (multiplicity 4)


Entry 4:
DFT (GGA-PBE) results for a geometry-optimized TaTlBr structure.

Summary:
- energy above the lowest structure with this stoichiometry (eV/atom) = 0.000
- V (Å³/cell) = 75.3
- crystal system = trigonal
- ΔE_f (raw) (eV/atom) = 0.13

a b c (Å): 3.2323 3.2323 8.3195
angles (deg): 90.00 90.00 120.00
Space group P3m1 (No. 156)
One atom of each set of equivalent atoms:
Ta: 0.0000 0.0000 0.0000 (multiplicity 1)
Tl: 0.6667 0.3333 0.3152 (multiplicity 1)
Br: 0.3333 0.6667 0.7762 (multiplicity 1)


Entry 5:
DFT (GGA-PBE) results for a geometry-optimized Ca7Mg2Cd2 structure.

Summary:
- energy above the lowest structure with this stoichiometry (eV/atom) = 0.000
- V (Å³/cell) = 746.5
- crystal system = monoclinic
- DFT formation energy (eV/atom) = -0.120

a b c (Å): 8.113 10.702 8.764
angles (deg): 90.00 101.13 90.00
Space group C2/m (No. 12)
One atom of each set of equivalent atoms:
Ca: 0.000 0.000 0.000 (multiplicity 2)
Ca: 0.214 0.294 0.199 (multiplicity 8)
Ca: 0.217 0.000 0.450 (multiplicity 4)
Mg: 0.094 0.500 0.856 (multiplicity 4)
Cd: 0.000 0.271 0.500 (multiplicity 4)


Entry 6:
DFT (GGA-PBE) results for a geometry-optimized Sr2PPt structure.

Summary:
- V (Å³/cell) = 100.5
- crystal system = tetragonal
- DFT formation energy (eV/atom) = -0.731

a b c (Å): 5.442 5.442 3.395
angles (deg): 90.00 90.00 90.00
Space group P4/mmm (No. 123)
One atom of each set of equivalent atoms:
Sr: 0.000 0.500 0.000 (multiplicity 2)
P: 0.000 0.000 0.500 (multiplicity 1)
Pt: 0.500 0.500 0.500 (multiplicity 1)


Entry 7:
DFT (GGA-PBE) results for a geometry-optimized CoOsRu3 structure.

Summary:
- energy above the lowest structure with this stoichiometry (eV/atom) = 0.000
- V (Å³/cell) = 79.6
- crystal system = cubic
- DFT formation energy (eV/atom) = 1.725

a b c (Å): 4.302 4.302 4.302
angles (deg): 90.00 90.00 90.00
Space group Pm-3m (No. 221)
One atom of each set of equivalent atoms:
Co: 0.000 0.000 0.000 (multiplicity 1)
Os: 0.500 0.500 0.500 (multiplicity 1)
Ru: 0.000 0.000 0.500 (multiplicity 3)


Entry 8:
DFT (GGA-PBE) results for a geometry-optimized Be2RhPb structure.

Summary:
- V (Å³/cell) = 60.8
- crystal system = tetragonal
- DFT formation energy (eV/atom) = -0.011

a b c (Å): 3.032 3.032 6.616
angles (deg): 90.00 90.00 90.00
Space group P4/mmm (No. 123)
One atom of each set of equivalent atoms:
Be: 0.000 0.000 0.161 (multiplicity 2)
Rh: 0.500 0.500 0.000 (multiplicity 1)
Pb: 0.500 0.500 0.500 (multiplicity 1)


Entry 9:
DFT (GGA-PBE) results for a geometry-optimized Ba2LaIn2Sb4 structure.

Summary:
- V (Å³/cell) = 644.0
- crystal system = monoclinic
- ΔE_f (raw) (eV/atom) = -0.74

a b c (Å): 17.019 4.856 8.235
angles (deg): 90.00 108.87 90.00
Space group C2/m (No. 12)
One atom of each set of equivalent atoms:
Ba: 0.128 0.000 0.072 (multiplicity 4)
La: 0.000 0.000 0.500 (multiplicity 2)
In: 0.169 0.500 0.494 (multiplicity 4)
Sb: 0.008 0.500 0.233 (multiplicity 4)
Sb: 0.208 0.000 0.709 (multiplicity 4)


Entry 10:
DFT (GGA-PBE) results for a geometry-optimized NaHgPt structure.

Summary:
- energy above the lowest structure with this stoichiometry (eV/atom) = 0.074
- V (Å³/cell) = 60.2
- crystal system = hexagonal
- DFT formation energy (eV/atom) = -0.137

a b c (Å): 4.8312 4.8312 2.9795
angles (deg): 90.00 90.00 120.00
Space group P-6m2 (No. 187)
One atom of each set of equivalent atoms:
Na: 0.0000 0.0000 0.0000 (multiplicity 1)
Hg: 0.6667 0.3333 0.5000 (multiplicity 1)
Pt: 0.3333 0.6667 0.5000 (multiplicity 1)


Entry 11:
DFT (GGA-PBE) results for a geometry-optimized Li2SnSe3 structure.

Summary:
- energy above the lowest structure with this stoichiometry (eV/atom) = 0.000
- V (Å³/cell) = 633.7
- crystal system = monoclinic
- ΔE_f (raw) (eV/atom) = -0.83

a b c (Å): 12.726 7.323 7.932
angles (deg): 90.00 121.00 90.00
Space group Cc (No. 9)
One atom of each set of equivalent atoms:
Li: 0.000 0.065 0.000 (multiplicity 4)
Li: 0.174 0.411 0.525 (multiplicity 4)
Sn: 0.317 0.086 0.992 (multiplicity 4)
Se: 0.124 0.096 0.375 (multiplicity 4)
Se: 0.292 0.417 0.896 (multiplicity 4)
Se: 0.457 0.080 0.382 (multiplicity 4)


Entry 12:
DFT (GGA-PBE) results for a geometry-optimized Ca2TiMo structure.

Summary:
- energy above the lowest structure with this stoichiometry (eV/atom) = 0.000
- V (Å³/cell) = 379.9
- crystal system = cubic
- DFT formation energy (eV/atom) = 1.056

a b c (Å): 7.242 7.242 7.242
angles (deg): 90.00 90.00 90.00
Space group Fm-3m (No. 225)
One atom of each set of equivalent atoms:
Ca: 0.250 0.250 0.250 (multiplicity 8)
Ti: 0.000 0.000 0.000 (multiplicity 4)
Mo: 0.000 0.000 0.500 (multiplicity 4)


E in eV/cell, matching the order above: -219.48, -227.44, -58.45, -15.49, -40.70, -17.74, -37.54, -18.56, -74.87, -8.07, -93.17, -74.02